[1]
Fe3Te: single point on PBEsol structure, SCAN.

Computed properties:
- D(E_F) (states/eV per cell) = 3.147
- uncorrected formation energy (kJ/mol of formula units) = 98
- M_tot (μB/f.u.) = 8.09

POSCAR file:
```
Fe3Te
1.0
-2.051 -1.982 -1.411
2.318 -1.031 -1.920
1.257 -3.853 3.587
Fe Te
3 1
direct
0.000 0.000 0.500
0.500 0.500 0.730
0.500 0.500 0.270
0.000 0.000 0.000
```



[2]
TlFe2Te: single point on PBEsol structure, SCAN.

Computed properties:
- D(E_F) (states/eV per cell) = 2.479
- uncorrected formation energy (kJ/mol of formula units) = 219
- M_tot (μB/f.u.) = 5.38

POSCAR file:
```
TlFe2Te
1.0
-0.036 -0.063 -3.194
2.166 -1.731 -1.589
-4.115 -6.796 -1.418
Te Fe Tl
1 2 1
direct
0.500 0.500 0.500
0.246 0.246 0.263
0.754 0.754 0.737
0.000 0.000 0.000
```



[3]
Tl2FeTe: single point on PBEsol structure, SCAN.

Computed properties:
- D(E_F) (states/eV per cell) = 2.704
- uncorrected formation energy (kJ/mol of formula units) = 190
- M_tot (μB/f.u.) = 2.93

POSCAR file:
```
Tl2FeTe
1.0
-3.112 3.874 1.312
-5.021 -0.265 -1.061
-3.401 -0.612 3.803
Fe Te Tl
1 1 2
direct
0.500 0.500 0.500
0.250 0.250 0.250
0.000 0.000 0.000
0.750 0.750 0.750
```



[4]
Tl2FeTe: single point on PBEsol structure, SCAN.

Computed properties:
- D(E_F) (states/eV per cell) = 2.231
- uncorrected formation energy (kJ/mol of formula units) = 183
- M_tot (μB/f.u.) = 3.18

POSCAR file:
```
Tl2FeTe
1.0
-0.134 -1.081 2.973
3.318 -4.511 -1.491
2.929 4.655 1.824
Fe Tl Te
1 2 1
direct
0.500 0.000 0.000
0.000 0.500 0.000
0.000 0.000 0.500
0.500 0.500 0.500
```



[5]
TlFe2Te2: single point on PBEsol structure, SCAN.

Computed properties:
- D(E_F) (states/eV per cell) = 2.337
- uncorrected formation energy (kJ/mol of formula units) = 99
- M_tot (μB/f.u.) = 0.00

POSCAR file:
```
TlFe2Te2
1.0
3.940 0.000 0.000
0.000 3.940 0.000
-1.970 -1.970 7.004
Te Fe Tl
2 2 1
direct
0.646 0.646 0.293
0.354 0.354 0.707
0.250 0.750 0.500
0.750 0.250 0.500
0.000 0.000 0.000
```



[6]
Tl2FeTe: single point on PBEsol structure, SCAN.

Computed properties:
- D(E_F) (states/eV per cell) = 3.026
- uncorrected formation energy (kJ/mol of formula units) = 146
- M_tot (μB/f.u.) = 3.06

POSCAR file:
```
Tl2FeTe
1.0
4.224 0.000 0.000
0.000 4.224 0.000
0.000 0.000 5.468
Fe Tl Te
1 2 1
direct
0.500 0.500 0.500
0.500 0.000 0.000
0.000 0.500 0.000
0.000 0.000 0.500
```



[7]
TlFe2Te: single point on PBEsol structure, SCAN.

Computed properties:
- D(E_F) (states/eV per cell) = 3.174
- uncorrected formation energy (kJ/mol of formula units) = 235
- M_tot (μB/f.u.) = 5.39

POSCAR file:
```
TlFe2Te
1.0
4.654 0.000 0.000
2.327 4.003 -0.003
2.327 1.334 3.774
Fe Tl Te
2 1 1
direct
0.787 0.213 0.213
0.213 0.787 0.787
0.000 0.500 0.500
0.500 0.000 0.000
```



[8]
Tl2FeTe: single point on PBEsol structure, SCAN.

Computed properties:
- D(E_F) (states/eV per cell) = 1.814
- uncorrected formation energy (kJ/mol of formula units) = 85
- M_tot (μB/f.u.) = 2.70

POSCAR file:
```
Tl2FeTe
1.0
-2.789 0.043 -1.612
0.587 -3.986 -1.121
-2.405 -0.234 7.374
Fe Tl Te
1 2 1
direct
0.000 0.500 0.000
0.322 0.322 0.644
0.678 0.678 0.356
0.500 0.000 0.000
```



[9]
TlFeTe4: single point on PBEsol structure, SCAN.

Computed properties:
- D(E_F) (states/eV per cell) = 9.407
- uncorrected formation energy (kJ/mol of formula units) = 397
- M_tot (μB/f.u.) = 4.25

POSCAR file:
```
TlFeTe4
1.0
-6.045 1.024 1.430
-4.234 -4.598 -0.748
-2.557 -2.775 5.040
Fe Te Tl
1 4 1
direct
0.000 0.000 0.000
0.374 0.374 0.877
0.877 0.374 0.374
0.374 0.877 0.374
0.374 0.374 0.374
0.750 0.750 0.750
```



[10]
FeTeW2: single point on PBEsol structure, SCAN.

Computed properties:
- D(E_F) (states/eV per cell) = 2.565
- uncorrected formation energy (kJ/mol of formula units) = 249
- M_tot (μB/f.u.) = 1.97

POSCAR file:
```
FeTeW2
1.0
3.057 0.000 0.000
0.000 3.057 0.000
0.000 0.000 6.686
Fe Te W
1 1 2
direct
0.500 0.500 0.000
0.500 0.500 0.500
0.000 0.000 0.221
0.000 0.000 0.779
```



[11]
YFe2Te: single point on PBEsol structure, SCAN.

Computed properties:
- D(E_F) (states/eV per cell) = 3.333
- uncorrected formation energy (kJ/mol of formula units) = -92
- M_tot (μB/f.u.) = 4.38

POSCAR file:
```
YFe2Te
1.0
4.014 0.000 0.000
2.007 3.476 0.000
2.007 1.159 5.248
Fe Y Te
2 1 1
direct
0.728 0.728 0.816
0.045 0.045 0.866
0.263 0.263 0.212
0.464 0.464 0.607
```



[12]
Y3FeTe: single point on PBEsol structure, SCAN.

Computed properties:
- D(E_F) (states/eV per cell) = 10.066
- uncorrected formation energy (kJ/mol of formula units) = 186
- M_tot (μB/f.u.) = 2.88

POSCAR file:
```
Y3FeTe
1.0
5.525 0.000 0.000
0.000 5.525 0.000
0.000 0.000 5.525
Y Te Fe
3 1 1
direct
0.000 0.500 0.000
0.500 0.000 0.000
0.000 0.000 0.500
0.000 0.000 0.000
0.500 0.500 0.500
```



| no. | total energy (eV per cell) |
| --- | --- |
| 1 | -90.6 |
| 2 | -143.6 |
| 3 | -198.1 |
| 4 | -198.2 |
| 5 | -182.1 |
| 6 | -198.6 |
| 7 | -143.4 |
| 8 | -199.2 |
| 9 | -235.4 |
| 10 | -192.2 |
| 11 | -102.3 |
| 12 | -137.0 |